A plane-wave DFT calculation with PBE was carried out for an optimized crystal structure of Cu5Ag.

Computed properties:
* energy of formation: 0.065 eV/atom
* M_tot: 0.00 Bohr magnetons per cell
* crystal system: monoclinic
* N(E_F): 1.593 states/eV per cell

a b c (Å): 5.073 5.073 6.257
angles (deg): 106.00 106.00 30.44
Fractional coordinates of all 6 atoms:
Cu  0.000  0.000  0.000
Cu  0.041  0.041  0.614
Cu  0.338  0.338  0.694
Cu  0.390  0.390  0.262
Cu  0.716  0.716  0.934
Ag  0.673  0.673  0.349


A plane-wave DFT calculation with PBE was carried out for an optimized crystal structure of AcZrIr4.

Computed properties:
* energy of formation: -0.483 eV/atom
* M_tot: 0.00 Bohr magnetons per cell
* crystal system: cubic
* N(E_F): 3.248 states/eV per cell

a b c (Å): 5.420 5.420 5.420
angles (deg): 60.00 60.00 60.00
Fractional coordinates of all 6 atoms:
Ac  0.000  0.000  0.000
Zr  0.750  0.750  0.750
Ir  0.375  0.375  0.375
Ir  0.375  0.375  0.874
Ir  0.375  0.874  0.375
Ir  0.874  0.375  0.375